The following is a DFT calculation (PBE-GGA) of an optimized crystal structure of NaNd3Hg4.

As for the formation energy: -0.421 eV per atom. Its magnetization is 0.000 μB per atom. The total DFT energy (no corrections) is -60.60 eV for the cell shown.

It has space group R-3m (No. 166, hexagonal axes), with a = 5.3425 Å, b = 5.3425 Å, c = 26.5962 Å, α = 90.00°, β = 90.00° and γ = 120.00°. The asymmetric unit holds Na at (0.0000, 0.0000, 0.0000), Nd at (0.0000, 0.0000, 0.2545), Nd at (0.0000, 0.0000, 0.5000), Hg at (0.0000, 0.0000, 0.1249) and Hg at (0.0000, 0.0000, 0.3750).